Record 1
Pm3Y2Er6Zr: relaxed, PBE.

Calculated values
* ΔH_f (0 K): 45 meV per atom

```
data_Pm3Y2Er6Zr
_chemical_formula_sum 'Pm6 Y4 Er12 Zr2'
_cell_length_a 6.114
_cell_length_b 10.577
_cell_length_c 11.623
_cell_angle_alpha 90.00
_cell_angle_beta 100.06
_cell_angle_gamma 90.00
_space_group_name_H-M_alt 'C 1 2/m 1'
_space_group_IT_number 12
loop_
_space_group_symop_operation_xyz
'x,y,z'
'-x,-y,-z'
'-x,y,-z'
'x,-y,z'
'x+1/2,y+1/2,z'
'-x+1/2,-y+1/2,-z'
'-x+1/2,y+1/2,-z'
'x+1/2,-y+1/2,z'
loop_
_atom_site_label
_atom_site_type_symbol
_atom_site_fract_x
_atom_site_fract_y
_atom_site_fract_z
Pm1 Pm 0.000 0.000 0.000
Pm2 Pm 0.000 0.334 0.000
Y1 Y 0.000 0.167 0.500
Er1 Er 0.243 0.337 0.743
Er2 Er 0.245 0.500 0.257
Zr1 Zr 0.000 0.500 0.500
```

=====

Record 2
Pm3Y6Er2Zr: relaxed, PBE.

Calculated values
* ΔH_f (0 K): 47 meV per atom

```
data_Pm3Y6Er2Zr
_chemical_formula_sum 'Pm6 Y12 Er4 Zr2'
_cell_length_a 6.148
_cell_length_b 10.635
_cell_length_c 11.716
_cell_angle_alpha 90.00
_cell_angle_beta 100.02
_cell_angle_gamma 90.00
_space_group_name_H-M_alt 'C 1 2/m 1'
_space_group_IT_number 12
loop_
_space_group_symop_operation_xyz
'x,y,z'
'-x,-y,-z'
'-x,y,-z'
'x,-y,z'
'x+1/2,y+1/2,z'
'-x+1/2,-y+1/2,-z'
'-x+1/2,y+1/2,-z'
'x+1/2,-y+1/2,z'
loop_
_atom_site_label
_atom_site_type_symbol
_atom_site_fract_x
_atom_site_fract_y
_atom_site_fract_z
Pm1 Pm 0.000 0.000 0.000
Pm2 Pm 0.000 0.334 0.000
Y1 Y 0.244 0.337 0.742
Y2 Y 0.246 0.500 0.259
Er1 Er 0.000 0.167 0.500
Zr1 Zr 0.000 0.500 0.500
```

=====

Record 3
PmErZn2: relaxed, PBE.

Calculated values
* ΔH_f (0 K): -326 meV per atom

```
data_PmErZn2
_chemical_formula_sum 'Pm4 Er4 Zn8'
_cell_length_a 7.203
_cell_length_b 7.203
_cell_length_c 7.203
_cell_angle_alpha 90.00
_cell_angle_beta 90.00
_cell_angle_gamma 90.00
_space_group_name_H-M_alt 'F m -3 m'
_space_group_IT_number 225
_space_group_name_Hall '-F 4 2 3'
loop_
_atom_site_label
_atom_site_type_symbol
_atom_site_fract_x
_atom_site_fract_y
_atom_site_fract_z
Pm1 Pm 0.000 0.000 0.000
Er1 Er 0.000 0.000 0.500
Zn1 Zn 0.250 0.250 0.250
```

=====

Record 4
PmEr3Zn4: relaxed, PBE.

Calculated values
* ΔH_f (0 K): -335 meV per atom

```
data_PmEr3Zn4
_chemical_formula_sum 'Pm1 Er3 Zn4'
_cell_length_a 5.026
_cell_length_b 5.026
_cell_length_c 7.195
_cell_angle_alpha 90.00
_cell_angle_beta 90.00
_cell_angle_gamma 90.00
_space_group_name_H-M_alt 'P 4/m m m'
_space_group_IT_number 123
_space_group_name_Hall '-P 4 2'
loop_
_atom_site_label
_atom_site_type_symbol
_atom_site_fract_x
_atom_site_fract_y
_atom_site_fract_z
Pm1 Pm 0.000 0.000 0.000
Er1 Er 0.000 0.000 0.500
Er2 Er 0.500 0.500 0.000
Er3 Er 0.500 0.500 0.500
Zn1 Zn 0.000 0.500 0.259
```

=====

Record 5
Pm2ErZn: relaxed, PBE.

Calculated values
* ΔH_f (0 K): -142 meV per atom
* energy above the lowest structure with this stoichiometry: 0.06 eV/f.u.

```
data_Pm2ErZn
_chemical_formula_sum 'Pm2 Er1 Zn1'
_cell_length_a 3.636
_cell_length_b 3.636
_cell_length_c 8.658
_cell_angle_alpha 90.00
_cell_angle_beta 90.00
_cell_angle_gamma 90.00
_space_group_name_H-M_alt 'P 4/m m m'
_space_group_IT_number 123
_space_group_name_Hall '-P 4 2'
loop_
_atom_site_label
_atom_site_type_symbol
_atom_site_fract_x
_atom_site_fract_y
_atom_site_fract_z
Pm1 Pm 0.000 0.000 0.212
Er1 Er 0.500 0.500 0.500
Zn1 Zn 0.500 0.500 0.000
```

=====

Record 6
Pm3Er2Zn3: relaxed, PBE.

Calculated values
* ΔH_f (0 K): -238 meV per atom

```
data_Pm3Er2Zn3
_chemical_formula_sum 'Pm6 Er4 Zn6'
_cell_length_a 3.646
_cell_length_b 5.282
_cell_length_c 21.598
_cell_angle_alpha 90.00
_cell_angle_beta 90.00
_cell_angle_gamma 90.00
_space_group_name_H-M_alt 'I m m m'
_space_group_IT_number 71
_space_group_name_Hall '-I 2 2'
loop_
_atom_site_label
_atom_site_type_symbol
_atom_site_fract_x
_atom_site_fract_y
_atom_site_fract_z
Pm1 Pm 0.000 0.000 0.000
Pm2 Pm 0.000 0.500 0.120
Er1 Er 0.000 0.000 0.230
Zn1 Zn 0.000 0.000 0.500
Zn2 Zn 0.000 0.500 0.381
```

=====

Record 7
PmEr2Zn2: relaxed, PBE.

Calculated values
* ΔH_f (0 K): -259 meV per atom
* energy above the lowest structure with this stoichiometry: 0.00 eV/f.u.

```
data_PmEr2Zn2
_chemical_formula_sum 'Pm2 Er4 Zn4'
_cell_length_a 3.604
_cell_length_b 5.194
_cell_length_c 13.330
_cell_angle_alpha 90.00
_cell_angle_beta 97.77
_cell_angle_gamma 90.00
_space_group_name_H-M_alt 'P 1 21/m 1'
_space_group_IT_number 11
loop_
_space_group_symop_operation_xyz
'x,y,z'
'-x,-y,-z'
'-x,y+1/2,-z'
'x,-y+1/2,z'
loop_
_atom_site_label
_atom_site_type_symbol
_atom_site_fract_x
_atom_site_fract_y
_atom_site_fract_z
Pm1 Pm 0.145 0.250 0.287
Er1 Er 0.046 0.750 0.093
Er2 Er 0.233 0.750 0.466
Zn1 Zn 0.360 0.250 0.719
Zn2 Zn 0.454 0.750 0.907
```

=====

Record 8
Pm2ErZn: relaxed, PBE.

Calculated values
* ΔH_f (0 K): 21 meV per atom
* energy above the lowest structure with this stoichiometry: 0.72 eV/f.u.

```
data_Pm2ErZn
_chemical_formula_sum 'Pm8 Er4 Zn4'
_cell_length_a 7.647
_cell_length_b 7.647
_cell_length_c 7.647
_cell_angle_alpha 90.00
_cell_angle_beta 90.00
_cell_angle_gamma 90.00
_space_group_name_H-M_alt 'F m -3 m'
_space_group_IT_number 225
_space_group_name_Hall '-F 4 2 3'
loop_
_atom_site_label
_atom_site_type_symbol
_atom_site_fract_x
_atom_site_fract_y
_atom_site_fract_z
Pm1 Pm 0.250 0.250 0.250
Er1 Er 0.000 0.000 0.000
Zn1 Zn 0.000 0.000 0.500
```

=====

Record 9
Pm2ErZn: relaxed, PBE.

Calculated values
* ΔH_f (0 K): 243 meV per atom
* energy above the lowest structure with this stoichiometry: 1.60 eV/f.u.

```
data_Pm2ErZn
_chemical_formula_sum 'Pm6 Er3 Zn3'
_cell_length_a 3.4881
_cell_length_b 3.4881
_cell_length_c 35.9295
_cell_angle_alpha 90.00
_cell_angle_beta 90.00
_cell_angle_gamma 120.00
_space_group_name_H-M_alt 'R -3 m'
_space_group_IT_number 166
_space_group_name_Hall '-R 3 2"'
loop_
_atom_site_label
_atom_site_type_symbol
_atom_site_fract_x
_atom_site_fract_y
_atom_site_fract_z
Pm1 Pm 0.0000 0.0000 0.0872
Er1 Er 0.0000 0.0000 0.5000
Zn1 Zn 0.0000 0.0000 0.0000
```

=====

Record 10
Pm2ErZn: relaxed, PBE.

Calculated values
* ΔH_f (0 K): -157 meV per atom
* energy above the lowest structure with this stoichiometry: 0.00 eV/f.u.

```
data_Pm2ErZn
_chemical_formula_sum 'Pm8 Er4 Zn4'
_cell_length_a 5.105
_cell_length_b 5.105
_cell_length_c 17.391
_cell_angle_alpha 90.00
_cell_angle_beta 90.00
_cell_angle_gamma 90.00
_space_group_name_H-M_alt 'I 4/m m m'
_space_group_IT_number 139
_space_group_name_Hall '-I 4 2'
loop_
_atom_site_label
_atom_site_type_symbol
_atom_site_fract_x
_atom_site_fract_y
_atom_site_fract_z
Pm1 Pm 0.000 0.000 0.145
Pm2 Pm 0.000 0.500 0.000
Er1 Er 0.000 0.000 0.350
Zn1 Zn 0.000 0.500 0.250
```

=====

Record 11
PmErZn: relaxed, PBE.

Calculated values
* ΔH_f (0 K): -206 meV per atom
* energy above the lowest structure with this stoichiometry: 0.00 eV/f.u.

```
data_PmErZn
_chemical_formula_sum 'Pm2 Er2 Zn2'
_cell_length_a 3.605
_cell_length_b 3.605
_cell_length_c 12.268
_cell_angle_alpha 90.00
_cell_angle_beta 90.00
_cell_angle_gamma 90.00
_space_group_name_H-M_alt 'I 4 m m'
_space_group_IT_number 107
_space_group_name_Hall 'I 4 -2'
loop_
_atom_site_label
_atom_site_type_symbol
_atom_site_fract_x
_atom_site_fract_y
_atom_site_fract_z
Pm1 Pm 0.000 0.000 0.000
Er1 Er 0.000 0.000 0.288
Zn1 Zn 0.000 0.000 0.655
```